VASP calculation (PBE) on a geometry-optimized Sc2BeGeC structure.

Lattice parameters (Å, degrees): 4.6033 4.6033 3.4748 90.00 90.00 90.00
Element x y z (fractional)
Sc: 0.0000 0.5000 0.0000
Sc: 0.5000 0.0000 0.0000
Be: 0.0000 0.0000 0.5000
Ge: 0.5000 0.5000 0.5000
C: 0.0000 0.0000 0.0000

Results
V = 73.6 Å³ per cell
total moment = 0.0 μB per cell
calculated density = 4.14 g cm⁻³
crystal system = tetragonal
energy relative to the lowest polymorph listed for this composition = 10.9 meV/atom
calculated formation energy = -582 meV/atom
symmetry = P4/mmm (123)